# 1
# LiPrAg2 (PBE, relaxed)
# **Calculated volume**: 21.4 A^3/atom
# **Excess energy over the best structure of this formula in the dataset**: 3 meV/atom
# **Energy relative to the elements**: -0.216 eV per atom
# **Symmetry**: Pnma (62)
# **DOS at the Fermi energy**: 2.6 states/eV/f.u.
data_LiPrAg2
_chemical_formula_sum 'Li4 Pr4 Ag8'
_cell_length_a 7.7801
_cell_length_b 7.5866
_cell_length_c 5.7942
_cell_angle_alpha 90.00
_cell_angle_beta 90.00
_cell_angle_gamma 90.00
_space_group_name_H-M_alt 'P 1'
_space_group_IT_number 1
loop_
_space_group_symop_operation_xyz
'x,y,z'
loop_
_atom_site_label
_atom_site_fract_x
_atom_site_fract_y
_atom_site_fract_z
Li1 0.1179 0.2500 0.1478
Li2 0.3821 0.7500 0.6478
Li3 0.6179 0.2500 0.3522
Li4 0.8821 0.7500 0.8522
Pr1 0.0366 0.7500 0.3634
Pr2 0.4634 0.2500 0.8634
Pr3 0.5366 0.7500 0.1366
Pr4 0.9634 0.2500 0.6366
Ag1 0.1769 0.5566 0.9112
Ag2 0.1769 0.9434 0.9112
Ag3 0.3231 0.0566 0.4112
Ag4 0.3231 0.4434 0.4112
Ag5 0.6769 0.5566 0.5888
Ag6 0.6769 0.9434 0.5888
Ag7 0.8231 0.0566 0.0888
Ag8 0.8231 0.4434 0.0888



# 2
# Li2PrAg (PBE, relaxed)
# **Calculated volume**: 21.5 A^3/atom
# **Excess energy over the best structure of this formula in the dataset**: 136 meV/atom
# **Energy relative to the elements**: 0.036 eV per atom
# **Symmetry**: Fm-3m (225)
# **DOS at the Fermi energy**: 5.6 states/eV/f.u.
data_Li2PrAg
_chemical_formula_sum 'Li8 Pr4 Ag4'
_cell_length_a 7.0095
_cell_length_b 7.0095
_cell_length_c 7.0095
_cell_angle_alpha 90.00
_cell_angle_beta 90.00
_cell_angle_gamma 90.00
_space_group_name_H-M_alt 'P 1'
_space_group_IT_number 1
loop_
_space_group_symop_operation_xyz
'x,y,z'
loop_
_atom_site_label
_atom_site_fract_x
_atom_site_fract_y
_atom_site_fract_z
Li1 0.2500 0.2500 0.2500
Li2 0.2500 0.2500 0.7500
Li3 0.2500 0.7500 0.2500
Li4 0.2500 0.7500 0.7500
Li5 0.7500 0.2500 0.2500
Li6 0.7500 0.2500 0.7500
Li7 0.7500 0.7500 0.2500
Li8 0.7500 0.7500 0.7500
Pr1 0.0000 0.0000 0.0000
Pr2 0.0000 0.5000 0.5000
Pr3 0.5000 0.0000 0.5000
Pr4 0.5000 0.5000 0.0000
Ag1 0.0000 0.0000 0.5000
Ag2 0.0000 0.5000 0.0000
Ag3 0.5000 0.0000 0.0000
Ag4 0.5000 0.5000 0.5000